Entry 1:
Material: Hg4Pd7Au
Method: DFT, GGA-PBE
State: optimized geometry

a b c (Å): 5.3522 4.6464 9.3970
angles (deg): 104.36 77.10 89.98
With the nearest neighbours (Å) after each atom.
Sites, in units of the cell vectors:
Au (0.0000, 0.0000, 0.0000)  6 Pd 2.68-2.77
Pd (0.0476, 0.2945, 0.5888)  4 Hg 2.70-2.78, 6 Pd 2.82-2.94
Hg (0.8074, 0.8580, 0.7155)  6 Pd 2.70-2.90, 1 Au 3.00
Pd (0.3725, 0.7751, 0.5501)  6 Pd 2.74-3.07, 3 Hg 2.96-3.05
Pd (0.5000, 0.0000, 0.0000)  2 Au 2.68, 2 Hg 2.73, 4 Pd 2.84
Hg (0.1926, 0.1420, 0.2845)  6 Pd 2.70-2.90, 1 Au 3.00
Pd (0.6275, 0.2249, 0.4499)  6 Pd 2.74-3.07, 3 Hg 2.96-3.05
Pd (0.9524, 0.7055, 0.4112)  4 Hg 2.70-2.78, 6 Pd 2.82-2.94
Pd (0.8002, 0.4536, 0.9075)  2 Au 2.77, 5 Hg 2.80-3.04, 4 Pd 2.84-3.01
Pd (0.1998, 0.5464, 0.0925)  2 Au 2.77, 5 Hg 2.80-3.04, 4 Pd 2.84-3.01
Hg (0.3760, 0.3883, 0.7751)  4 Pd 2.71-2.96
Hg (0.6240, 0.6117, 0.2249)  4 Pd 2.71-2.96

Calculated values
The space group is C2/m, No. 12. For the formation enthalpy at 0 K, the calculation gives -0.86 eV per formula unit. The value obtained for the energy above the most stable polymorph in this dataset is 0.00 eV per formula unit.

=====

Entry 2:
Material: Ta5Ga3B
Method: DFT, GGA-PBE
State: optimized geometry

a b c (Å): 7.7857 7.7857 5.3409
angles (deg): 90.00 90.00 120.00
With the nearest neighbours (Å) after each atom.
Sites, in units of the cell vectors:
Ga (0.4016, 0.0000, 0.7500)  9 Ta 2.72-2.94
Ga (0.5984, 0.5984, 0.7500)  9 Ta 2.72-2.94
Ga (0.0000, 0.5984, 0.2500)  9 Ta 2.72-2.94
Ga (0.4016, 0.4016, 0.2500)  9 Ta 2.72-2.94
Ta (0.2425, 0.0000, 0.2500)  2 B 2.31
Ta (0.0000, 0.7575, 0.7500)  2 B 2.31
B (0.0000, 0.0000, 0.5000)  6 Ta 2.31
B (0.0000, 0.0000, 0.0000)  6 Ta 2.31
Ga (0.5984, 0.0000, 0.2500)  9 Ta 2.72-2.94
Ta (0.7575, 0.0000, 0.7500)  2 B 2.31
Ta (0.2425, 0.2425, 0.7500)  2 B 2.31
Ga (0.0000, 0.4016, 0.7500)  9 Ta 2.72-2.94
Ta (0.7575, 0.7575, 0.2500)  2 B 2.31
Ta (0.6667, 0.3333, 0.0000)  2 Ta 2.67, 6 Ga 2.72
Ta (0.3333, 0.6667, 0.0000)  2 Ta 2.67, 6 Ga 2.72
Ta (0.6667, 0.3333, 0.5000)  2 Ta 2.67, 6 Ga 2.72
Ta (0.3333, 0.6667, 0.5000)  2 Ta 2.67, 6 Ga 2.72
Ta (0.0000, 0.2425, 0.2500)  2 B 2.31

Calculated values
The space group is P6_3/mcm, No. 193. For the formation enthalpy at 0 K, the calculation gives -3.84 eV per formula unit.

=====

Entry 3:
Material: ZnAsCl2
Method: DFT, GGA-PBE
State: optimized geometry

a b c (Å): 3.9682 4.5089 4.5089
angles (deg): 90.00 90.00 90.00
With the nearest neighbours (Å) after each atom.
Sites, in units of the cell vectors:
As (0.5000, 0.0000, 0.5000)  8 Cl 3.00, 4 Zn 3.19
Zn (0.5000, 0.5000, 0.0000)  8 Cl 3.00, 4 As 3.19
Cl (0.0000, 0.5000, 0.5000)  4 As 3.00, 4 Zn 3.00, 4 Cl 3.19
Cl (0.0000, 0.0000, 0.0000)  4 As 3.00, 4 Zn 3.00, 4 Cl 3.19

Calculated values
As for the energy relative to the elements, uncorrected: 0.257 eV/atom. The space group is P4/mmm, No. 123. The value obtained for the energy above the most stable polymorph in this dataset is 2.73 eV per formula unit.

=====

Entry 4:
Material: MnCo2Br8
Method: DFT, GGA-PBE
State: optimized geometry

a b c (Å): 6.4229 7.6682 7.6682
angles (deg): 102.10 101.23 101.23
With the nearest neighbours (Å) after each atom.
Sites, in units of the cell vectors:
Br (0.2366, 0.0054, 0.3033)  1 Co 2.46, 1 Mn 2.51
Br (0.7634, 0.6967, 0.9946)  1 Co 2.46, 1 Mn 2.51
Br (0.2624, 0.8162, 0.8162)  1 Co 2.37
Br (0.7376, 0.1838, 0.1838)  1 Co 2.37
Br (0.7634, 0.9946, 0.6967)  1 Co 2.46, 1 Mn 2.51
Br (0.2366, 0.3033, 0.0054)  1 Co 2.46, 1 Mn 2.51
Mn (0.0000, 0.0000, 0.0000)  6 Br 2.51-2.80
Br (0.7497, 0.5291, 0.5291)  2 Co 2.37-2.43
Co (0.5351, 0.6974, 0.6974)  5 Br 2.37-2.46
Co (0.4649, 0.3026, 0.3026)  5 Br 2.37-2.46
Br (0.2503, 0.4709, 0.4709)  2 Co 2.37-2.43

Calculated values
As for the energy relative to the elements, uncorrected: -0.323 eV/atom. The space group is C2/m, No. 12.

=====

Entry 5:
Material: NbZnSe2Br
Method: DFT, GGA-PBE
State: optimized geometry

a b c (Å): 4.7295 5.6327 4.7295
angles (deg): 90.00 90.00 90.00
With the nearest neighbours (Å) after each atom.
Sites, in units of the cell vectors:
Se (0.5000, 0.0000, 0.0000)  2 Zn 2.36
Zn (0.0000, 0.0000, 0.0000)  4 Se 2.36
Se (0.0000, 0.0000, 0.5000)  2 Zn 2.36
Nb (0.0000, 0.5000, 0.0000)  2 Zn 2.82
Br (0.5000, 0.5000, 0.5000)  4 Nb 3.34, 8 Se 3.68

Calculated values
As for the energy relative to the elements, uncorrected: 0.709 eV/atom. The space group is P4/mmm, No. 123. The value obtained for the energy above the most stable polymorph in this dataset is 4.31 eV per formula unit.

=====

Entry 6:
Material: K3Nd2DyO6
Method: DFT, GGA-PBE
State: optimized geometry

a b c (Å): 6.2223 6.2223 6.6274
angles (deg): 99.00 99.00 120.01
With the nearest neighbours (Å) after each atom.
Sites, in units of the cell vectors:
O (0.9369, 0.6137, 0.8108)  1 Dy 2.34, 2 Nd 2.42
K (0.8354, 0.1646, 0.5000)  6 O 2.82-2.91
O (0.6137, 0.9369, 0.8108)  1 Dy 2.34, 2 Nd 2.42
Dy (0.0000, 0.0000, 0.0000)  6 O 2.34
O (0.7397, 0.7397, 0.1887)  1 Dy 2.34, 2 Nd 2.42
K (0.5000, 0.5000, 0.5000)  6 O 2.83-2.90
Nd (0.6667, 0.3333, 0.0000)  6 O 2.42
O (0.2603, 0.2603, 0.8113)  1 Dy 2.34, 2 Nd 2.42
K (0.1646, 0.8354, 0.5000)  6 O 2.82-2.91
O (0.0631, 0.3863, 0.1892)  1 Dy 2.34, 2 Nd 2.42
Nd (0.3333, 0.6667, 0.0000)  6 O 2.42
O (0.3863, 0.0631, 0.1892)  1 Dy 2.34, 2 Nd 2.42

Calculated values
As for the energy relative to the elements, uncorrected: -2.657 eV/atom. The space group is C2/m, No. 12.

=====

Entry 7:
Material: DyMgTeO6
Method: DFT, GGA-PBE
State: optimized geometry

a b c (Å): 5.3016 5.3016 9.6010
angles (deg): 90.00 90.00 120.00
With the nearest neighbours (Å) after each atom.
Sites, in units of the cell vectors:
Mg (0.6667, 0.3333, 0.2500)  6 O 2.10
Te (0.3333, 0.6667, 0.2500)  6 O 1.95
O (0.6343, 0.6571, 0.1381)  1 Te 1.95, 1 Mg 2.10
Dy (0.0000, 0.0000, 0.5000)  6 O 2.30
Te (0.6667, 0.3333, 0.7500)  6 O 1.95
O (0.0228, 0.3657, 0.1381)  1 Te 1.95, 1 Mg 2.10
O (0.0228, 0.6571, 0.3619)  1 Te 1.95, 1 Mg 2.10
O (0.6343, 0.9772, 0.3619)  1 Te 1.95, 1 Mg 2.10
Mg (0.3333, 0.6667, 0.7500)  6 O 2.10
O (0.6571, 0.6343, 0.6381)  1 Te 1.95, 1 Mg 2.10
O (0.3429, 0.9772, 0.1381)  1 Te 1.95, 1 Mg 2.10
O (0.9772, 0.6343, 0.8619)  1 Te 1.95, 1 Mg 2.10
O (0.3657, 0.3429, 0.8619)  1 Te 1.95, 1 Mg 2.10
Dy (0.0000, 0.0000, 0.0000)  6 O 2.30
O (0.9772, 0.3429, 0.6381)  1 Te 1.95, 1 Mg 2.10
O (0.3657, 0.0228, 0.6381)  1 Te 1.95, 1 Mg 2.10
O (0.3429, 0.3657, 0.3619)  1 Te 1.95, 1 Mg 2.10
O (0.6571, 0.0228, 0.8619)  1 Te 1.95, 1 Mg 2.10

Calculated values
As for the energy relative to the elements, uncorrected: -2.018 eV/atom. The space group is P-31c, No. 163.

=====

Entry 8:
Material: VBiSe2
Method: DFT, GGA-PBE
State: optimized geometry

a b c (Å): 9.2986 9.2986 9.2986
angles (deg): 21.36 21.36 21.36
With the nearest neighbours (Å) after each atom.
Sites, in units of the cell vectors:
V (0.5000, 0.5000, 0.5000)  6 Se 2.51
Se (0.1105, 0.1105, 0.1105)  3 V 2.51
Se (0.8895, 0.8895, 0.8895)  3 V 2.51
Bi (0.0000, 0.0000, 0.0000)  2 Se 3.01

Calculated values
As for the energy relative to the elements, uncorrected: -0.435 eV/atom. The space group is R-3m, No. 166.

=====

Entry 9:
Material: TmBe2Pt2
Method: DFT, GGA-PBE
State: optimized geometry

a b c (Å): 3.9810 3.9810 9.4895
angles (deg): 90.00 90.00 90.00
With the nearest neighbours (Å) after each atom.
Sites, in units of the cell vectors:
Tm (0.5000, 0.0000, 0.2492)  8 Pt 3.04-3.10, 8 Be 3.05-3.09
Be (0.0000, 0.5000, 0.3726)  5 Pt 2.32-2.33
Tm (0.0000, 0.5000, 0.7508)  8 Pt 3.04-3.10, 8 Be 3.05-3.09
Pt (0.5000, 0.5000, 0.5000)  4 Be 2.33
Be (0.0000, 0.0000, 0.0000)  4 Pt 2.33
Pt (0.0000, 0.5000, 0.1286)  5 Be 2.32-2.33
Pt (0.0000, 0.0000, 0.5000)  4 Be 2.33
Pt (0.5000, 0.0000, 0.8714)  5 Be 2.32-2.33
Be (0.5000, 0.0000, 0.6274)  5 Pt 2.32-2.33
Be (0.5000, 0.5000, 0.0000)  4 Pt 2.33

Calculated values
The space group is P4/nmm, No. 129. For the formation enthalpy at 0 K, the calculation gives -4.66 eV per formula unit.

=====

Entry 10:
Material: Dy2In3Pd4
Method: DFT, GGA-PBE
State: optimized geometry

a b c (Å): 4.8021 4.7914 9.1246
angles (deg): 90.33 90.03 59.91
With the nearest neighbours (Å) after each atom.
Sites, in units of the cell vectors:
In (0.3320, 0.3359, 0.4124)  4 Pd 2.83-2.88
Dy (0.3341, 0.3321, 0.7825)  7 Pd 2.87-3.01
Pd (0.3328, 0.3340, 0.0972)  4 Dy 2.87-2.98, 4 In 2.88-2.91
Pd (0.0017, 0.9966, 0.6525)  1 Pd 2.78, 3 In 2.83, 3 Dy 3.01
Pd (0.6672, 0.6660, 0.9028)  4 Dy 2.87-2.98, 4 In 2.88-2.91
Dy (0.6659, 0.6679, 0.2175)  7 Pd 2.87-3.01
In (0.6680, 0.6641, 0.5876)  4 Pd 2.83-2.88
Pd (0.9983, 0.0034, 0.3475)  1 Pd 2.78, 3 In 2.83, 3 Dy 3.01
In (0.0000, 0.0000, 0.0000)  8 Pd 2.91-3.17

Calculated values
The space group is C2/m, No. 12. For the formation enthalpy at 0 K, the calculation gives -6.36 eV per formula unit.

=====

Entry 11:
Material: TcPRh2
Method: DFT, GGA-PBE
State: optimized geometry

a b c (Å): 2.7996 2.7996 6.9854
angles (deg): 90.00 90.00 90.00
With the nearest neighbours (Å) after each atom.
Sites, in units of the cell vectors:
Tc (0.5000, 0.5000, 0.0000)  8 Rh 2.78, 4 Tc 2.80
P (0.5000, 0.5000, 0.5000)  8 Rh 2.51, 4 P 2.80
Rh (0.0000, 0.0000, 0.7206)  4 P 2.51, 4 Tc 2.78, 4 Rh 2.80
Rh (0.0000, 0.0000, 0.2794)  4 P 2.51, 4 Tc 2.78, 4 Rh 2.80

Calculated values
The space group is P4/mmm, No. 123. For the formation enthalpy at 0 K, the calculation gives -0.50 eV per formula unit.

=====

Entry 12:
Material: MoOsRh2
Method: DFT, GGA-PBE
State: optimized geometry

a b c (Å): 4.3793 4.3793 4.3793
angles (deg): 60.00 60.00 60.00
With the nearest neighbours (Å) after each atom.
Sites, in units of the cell vectors:
Os (0.7500, 0.7500, 0.7500)  4 Mo 2.68, 4 Rh 2.68
Rh (0.0000, 0.0000, 0.0000)  4 Os 2.68, 4 Rh 2.68
Rh (0.2500, 0.2500, 0.2500)  4 Rh 2.68, 4 Mo 2.68
Mo (0.5000, 0.5000, 0.5000)  4 Os 2.68, 4 Rh 2.68

Calculated values
The space group is F-43m, No. 216. For the formation enthalpy at 0 K, the calculation gives 0.98 eV per formula unit. The value obtained for the energy above the most stable polymorph in this dataset is 1.74 eV per formula unit.